# 1
## CoAgOs2 (PBE)

Data for a relaxed CoAgOs2 crystal.

```
4
Lattice="4.479 0.000 0.000 0.000 4.479 0.000 0.000 0.000 2.843" Properties=species:S:1:pos:R:3 pbc="T T T"
Co 0.000 0.000 0.000
Ag 2.239 2.239 0.000
Os 0.000 2.239 1.421
Os 2.239 0.000 1.421
```

Output
Energy relative to the elements in eV per atom: 0.952
Excess energy over the best structure of this formula in the dataset in meV per atom: 597

# 2
## CoAgOs2 (PBE)

Data for a relaxed CoAgOs2 crystal.

```
4
Lattice="2.664 0.000 0.000 0.000 3.660 0.000 0.000 0.000 5.939" Properties=species:S:1:pos:R:3 pbc="T T T"
Co 0.000 0.000 0.000
Ag 0.000 0.000 2.970
Os 1.332 1.830 1.233
Os 1.332 1.830 4.706
```

Output
Energy relative to the elements in eV per atom: 0.636
Excess energy over the best structure of this formula in the dataset in meV per atom: 282

# 3
## CoAgOs2 (PBE)

Data for a relaxed CoAgOs2 crystal.

```
4
Lattice="2.670 -4.672 0.000 2.670 4.672 0.000 -1.254 0.000 2.353" Properties=species:S:1:pos:R:3 pbc="T T T"
Co 0.000 0.000 0.000
Ag 2.670 0.000 0.000
Os 0.708 2.336 1.176
Os 0.708 -2.336 1.176
```

Output
Energy relative to the elements in eV per atom: 0.745
Excess energy over the best structure of this formula in the dataset in meV per atom: 390

# 4
## CoAg2Os (PBE)

Data for a relaxed CoAg2Os crystal.

```
8
Lattice="-3.616 3.616 2.584 3.616 -3.616 2.584 3.616 3.616 -2.584" Properties=species:S:1:pos:R:3 pbc="T T T"
Co 0.000 0.000 0.000
Co 0.000 3.616 1.292
Ag 5.424 1.666 -0.646
Ag 1.666 1.808 0.646
Ag -1.808 1.950 1.938
Ag 1.950 1.808 3.229
Os 3.616 0.000 1.292
Os 0.000 0.000 2.584
```

Output
Energy relative to the elements in eV per atom: 1.232
Excess energy over the best structure of this formula in the dataset in meV per atom: 894

# 5
## CoAgOs2 (PBE)

Data for a relaxed CoAgOs2 crystal.

```
4
Lattice="1.364 0.788 8.959 -1.364 0.788 8.959 0.000 -1.575 8.959" Properties=species:S:1:pos:R:3 pbc="T T T"
Co 0.000 0.000 0.000
Ag 0.000 0.000 20.196
Os 0.000 0.000 6.913
Os 0.000 0.000 13.736
```

Output
Energy relative to the elements in eV per atom: 0.354
Excess energy over the best structure of this formula in the dataset in meV per atom: 0

# 6
## CoAgOs (PBE)

Data for a relaxed CoAgOs crystal.

```
3
Lattice="2.714 0.000 0.000 -1.357 2.351 0.000 0.000 0.000 6.769" Properties=species:S:1:pos:R:3 pbc="T T T"
Co 0.000 0.000 0.000
Ag 0.000 1.567 4.464
Os 1.357 0.784 1.943
```

Output
Energy relative to the elements in eV per atom: 0.392
Excess energy over the best structure of this formula in the dataset in meV per atom: 0

# 7
## CoAgOs2 (PBE)

Data for a relaxed CoAgOs2 crystal.

```
4
Lattice="2.655 0.000 0.000 0.000 2.655 0.000 0.000 0.000 8.041" Properties=species:S:1:pos:R:3 pbc="T T T"
Co 0.000 0.000 0.000
Ag 0.000 0.000 4.020
Os 1.327 1.327 1.767
Os 1.327 1.327 6.274
```

Output
Energy relative to the elements in eV per atom: 0.551
Excess energy over the best structure of this formula in the dataset in meV per atom: 197

# 8
## CoAgOs2 (PBE)

Data for a relaxed CoAgOs2 crystal.

```
4
Lattice="0.000 3.072 3.072 3.072 0.000 3.072 3.072 3.072 0.000" Properties=species:S:1:pos:R:3 pbc="T T T"
Co 0.000 0.000 0.000
Ag 4.608 4.608 4.608
Os 1.536 1.536 1.536
Os 3.072 3.072 3.072
```

Output
Energy relative to the elements in eV per atom: 0.742
Excess energy over the best structure of this formula in the dataset in meV per atom: 388

# 9
## CoAg2Os (PBE)

Data for a relaxed CoAg2Os crystal.

```
4
Lattice="1.362 0.786 9.476 -1.362 0.786 9.476 0.000 -1.572 9.476" Properties=species:S:1:pos:R:3 pbc="T T T"
Co 0.000 0.000 0.000
Ag 0.000 0.000 7.200
Ag 0.000 0.000 21.229
Os 0.000 0.000 14.215
```

Output
Energy relative to the elements in eV per atom: 0.561
Excess energy over the best structure of this formula in the dataset in meV per atom: 223

# 10
## Co3AgOs (PBE)

Data for a relaxed Co3AgOs crystal.

```
5
Lattice="4.481 0.000 0.000 0.000 4.481 0.000 0.000 0.000 4.481" Properties=species:S:1:pos:R:3 pbc="T T T"
Co 0.000 0.000 2.240
Co 0.000 2.240 0.000
Co 2.240 0.000 0.000
Ag 0.000 0.000 0.000
Os 2.240 2.240 2.240
```

Output
Energy relative to the elements in eV per atom: 2.263
Excess energy over the best structure of this formula in the dataset in meV per atom: 825

# 11
## Co2AgOs2 (PBE)

Data for a relaxed Co2AgOs2 crystal.

```
10
Lattice="7.336 0.000 0.000 0.000 7.336 0.000 0.000 0.000 2.618" Properties=species:S:1:pos:R:3 pbc="T T T"
Co 1.227 2.441 0.000
Co 2.441 6.109 0.000
Co 4.895 1.227 0.000
Co 6.109 4.895 0.000
Ag 0.000 0.000 1.309
Ag 3.668 3.668 1.309
Os 0.911 4.579 1.309
Os 2.757 0.911 1.309
Os 4.579 6.425 1.309
Os 6.425 2.757 1.309
```

Output
Energy relative to the elements in eV per atom: 0.468
Excess energy over the best structure of this formula in the dataset in meV per atom: 0

# 12
## CoAgOs (PBE)

Data for a relaxed CoAgOs crystal.

```
3
Lattice="0.000 2.274 6.974 1.395 0.000 6.974 1.395 2.274 0.000" Properties=species:S:1:pos:R:3 pbc="T T T"
Co 0.000 0.000 0.000
Ag 1.395 2.274 4.629
Os 1.395 2.274 9.022
```

Output
Energy relative to the elements in eV per atom: 0.551
Excess energy over the best structure of this formula in the dataset in meV per atom: 158